# 1
AlCdIr2 | PBE | optimized geometry

Values from the calculation:
Formation enthalpy at 0 K, eV/atom: -0.101

Unit cell a=2.8197 b=3.8897 c=5.8286 alpha=90.00 beta=90.00 gamma=90.00
Element x y z (fractional)
Al 0.0000 0.0000 0.0000
Cd 0.5000 0.5000 0.3127
Ir 0.0000 0.0000 0.5605
Ir 0.5000 0.5000 0.8257



# 2
PuZnCdAg | PBE | optimized geometry

Values from the calculation:
Formation enthalpy at 0 K, eV/atom: -0.002

Unit cell a=4.9630 b=4.9630 c=4.9630 alpha=60.00 beta=60.00 gamma=60.00
Element x y z (fractional)
Pu 0.0000 0.0000 0.0000
Zn 0.2500 0.2500 0.2500
Cd 0.5000 0.5000 0.5000
Ag 0.7500 0.7500 0.7500



# 3
Sc2NiI | PBE | optimized geometry

Values from the calculation:
Energy, eV per formula unit: -20.18

Unit cell a=4.8696 b=4.8696 c=4.8696 alpha=60.00 beta=60.00 gamma=60.00
Element x y z (fractional)
Sc 0.2500 0.2500 0.2500
Sc 0.7500 0.7500 0.7500
Ni 0.0000 0.0000 0.0000
I 0.5000 0.5000 0.5000



# 4
LiRhSe2 | PBE | optimized geometry

Values from the calculation:
Energy, eV per formula unit: -17.45

Unit cell a=3.1942 b=3.1942 c=6.6064 alpha=90.00 beta=90.00 gamma=90.00
Element x y z (fractional)
Li 0.0000 0.0000 0.0000
Rh 0.0000 0.0000 0.5000
Se 0.5000 0.5000 0.2675
Se 0.5000 0.5000 0.7325



# 5
CeNd4Sn2 | PBE | optimized geometry

Values from the calculation:
Formation enthalpy at 0 K, eV/atom: -0.374

Unit cell a=8.2263 b=6.6320 c=9.0300 alpha=90.00 beta=115.07 gamma=90.00
Element x y z (fractional)
Ce 0.1157 0.2500 0.3605
Ce 0.8843 0.7500 0.6395
Nd 0.1591 0.7500 0.0895
Nd 0.3179 0.0044 0.7828
Nd 0.3179 0.4956 0.7828
Nd 0.4776 0.7500 0.5058
Nd 0.5224 0.2500 0.4942
Nd 0.6821 0.5044 0.2172
Nd 0.6821 0.9956 0.2172
Nd 0.8409 0.2500 0.9105
Sn 0.0707 0.7500 0.4042
Sn 0.2852 0.2500 0.0960
Sn 0.7148 0.7500 0.9040
Sn 0.9293 0.2500 0.5958



# 6
SiBI2 | PBE | optimized geometry

Values from the calculation:
Energy, eV per formula unit: -10.10

Unit cell a=6.5327 b=6.5327 c=6.5327 alpha=109.51 beta=109.51 gamma=109.39
Element x y z (fractional)
Si 0.0000 0.0000 0.0000
Si 0.7500 0.2500 0.5000
B 0.2500 0.7500 0.5000
B 0.5000 0.5000 0.0000
I 0.1486 0.6250 0.0236
I 0.3750 0.3986 0.5236
I 0.6014 0.1250 0.9764
I 0.8750 0.8514 0.4764